Co2O3 | PBE+U | relaxed

abc: 2.7963 4.7555 6.7278
angles: 95.92 101.46 90.25
Positions (direct):
Co  0.0000  0.0000  0.0000
Co  0.1675  0.4214  0.3454
Co  0.3655  0.4565  0.7282
Co  0.6854  0.9333  0.3840
O  0.1065  0.7615  0.2210
O  0.2538  0.1385  0.5221
O  0.4292  0.8290  0.8538
O  0.5966  0.2117  0.1999
O  0.7537  0.5974  0.5203
O  0.9368  0.3347  0.8760

Properties
Energy ... -5.8080 eV/atom
Density ... 6318 kg/m3


CoO | PBE+U | relaxed

abc: 5.1527 5.1527 5.1527
angles: 116.81 116.81 116.81
Positions (direct):
Co  0.1029  0.1029  0.7942
Co  0.1029  0.7942  0.1029
Co  0.7942  0.1029  0.1029
O  0.4138  0.4138  0.7299
O  0.4138  0.7299  0.4138
O  0.7299  0.4138  0.4138

Properties
Energy ... -5.8678 eV/atom
Density ... 6005 kg/m3


CoO | PBE+U | relaxed

abc: 3.5877 3.5877 13.5179
angles: 90.00 90.00 131.45
Positions (direct):
Co  0.1077  0.8923  0.5939
Co  0.1077  0.8923  0.9061
Co  0.1662  0.8338  0.2500
Co  0.8338  0.1662  0.7500
Co  0.8923  0.1077  0.0939
Co  0.8923  0.1077  0.4061
O  0.1298  0.8702  0.7500
O  0.4010  0.5990  0.5937
O  0.4010  0.5990  0.9063
O  0.5990  0.4010  0.0937
O  0.5990  0.4010  0.4063
O  0.8702  0.1298  0.2500

Properties
Energy ... -5.7333 eV/atom
Density ... 5725 kg/m3


CoO3 | PBE+U | relaxed

abc: 4.6733 4.6967 8.4113
angles: 94.22 92.22 119.00
Positions (direct):
Co  0.0000  0.0000  0.0000
Co  0.0954  0.4450  0.2764
Co  0.4261  0.1076  0.2774
Co  0.5740  0.9317  0.7424
O  0.0870  0.7638  0.1562
O  0.1576  0.1786  0.3956
O  0.2254  0.5903  0.6527
O  0.2866  0.9706  0.8928
O  0.3535  0.3616  0.1383
O  0.4133  0.7889  0.3927
O  0.5686  0.2397  0.6500
O  0.6406  0.6786  0.8899
O  0.7576  0.0979  0.1520
O  0.7738  0.4369  0.3896
O  0.8488  0.8942  0.6318
O  0.9274  0.2580  0.8810

Properties
Energy ... -4.9219 eV/atom
Density ... 4427 kg/m3


Co2Os2O5 | PBE+U | relaxed

abc: 3.3774 3.3774 8.3675
angles: 90.00 90.00 90.00
Positions (direct):
Co  0.0000  0.0000  0.2317
Co  0.0000  0.0000  0.7683
Os  0.5000  0.5000  0.0000
Os  0.5000  0.5000  0.5000
O  0.0000  0.0000  0.0000
O  0.0000  0.5000  0.3597
O  0.0000  0.5000  0.6404
O  0.5000  0.0000  0.3597
O  0.5000  0.0000  0.6404

Properties
Energy ... -6.2094 eV/atom
Density ... 10061 kg/m3


CoOs2O4 | PBE+U | relaxed

abc: 6.0706 6.0706 6.0706
angles: 60.00 60.00 60.00
Positions (direct):
Co  0.1250  0.1250  0.1250
Co  0.8750  0.8750  0.8750
Os  0.0000  0.5000  0.5000
Os  0.5000  0.0000  0.5000
Os  0.5000  0.5000  0.0000
Os  0.5000  0.5000  0.5000
O  0.2565  0.2565  0.2565
O  0.2565  0.2565  0.7306
O  0.2565  0.7306  0.2565
O  0.2694  0.7435  0.7435
O  0.7306  0.2565  0.2565
O  0.7435  0.2694  0.7435
O  0.7435  0.7435  0.2694
O  0.7435  0.7435  0.7435

Properties
Energy ... -7.2215 eV/atom
Density ... 10569 kg/m3


Sr2CoOsO6 | PBE+U | relaxed

abc: 5.5954 5.5954 5.5954
angles: 120.89 120.89 88.47
Positions (direct):
Sr  0.2500  0.7500  0.5000
Sr  0.7500  0.2500  0.5000
Co  0.0000  0.0000  0.0000
Os  0.5000  0.5000  0.0000
O  0.2174  0.2925  0.5099
O  0.2592  0.2592  0.0000
O  0.2925  0.7826  0.0751
O  0.7075  0.2174  0.9249
O  0.7408  0.7408  0.0000
O  0.7826  0.7075  0.4901

Properties
Energy ... -6.7914 eV/atom
Density ... 7073 kg/m3


CoPO4 | PBE+U | relaxed

abc: 9.5384 5.7412 4.7600
angles: 90.00 90.00 90.00
Positions (direct):
Co  0.2340  0.2500  0.0544
Co  0.2660  0.7500  0.5544
Co  0.7340  0.2500  0.4456
Co  0.7660  0.7500  0.9456
P  0.0882  0.7500  0.1193
P  0.4118  0.2500  0.6193
P  0.5882  0.7500  0.3807
P  0.9118  0.2500  0.8807
O  0.0709  0.2500  0.8341
O  0.1171  0.7500  0.8023
O  0.1583  0.5388  0.2712
O  0.1583  0.9612  0.2712
O  0.3417  0.0388  0.7712
O  0.3417  0.4612  0.7712
O  0.3829  0.2500  0.3023
O  0.4291  0.7500  0.3341
O  0.5709  0.2500  0.6659
O  0.6171  0.7500  0.6977
O  0.6583  0.5388  0.2288
O  0.6583  0.9612  0.2288
O  0.8417  0.0388  0.7288
O  0.8417  0.4612  0.7288
O  0.8829  0.2500  0.1977
O  0.9291  0.7500  0.1659

Properties
Energy ... -6.6878 eV/atom
Density ... 3922 kg/m3


CoPO4 | PBE+U | relaxed

abc: 4.6406 4.6406 6.2395
angles: 90.00 90.00 111.19
Positions (direct):
Co  0.0000  0.0000  0.0000
Co  0.0000  0.0000  0.5000
P  0.3525  0.6475  0.7500
P  0.6475  0.3525  0.2500
O  0.2259  0.2874  0.7500
O  0.2415  0.7585  0.5451
O  0.2415  0.7585  0.9549
O  0.2874  0.2259  0.2500
O  0.7126  0.7741  0.7500
O  0.7585  0.2415  0.0451
O  0.7585  0.2415  0.4549
O  0.7741  0.7126  0.2500

Properties
Energy ... -6.7160 eV/atom
Density ... 4080 kg/m3


CoPO4 | PBE+U | relaxed

abc: 4.9218 4.9218 4.9218
angles: 122.22 122.22 86.20
Positions (direct):
Co  0.0000  0.0000  0.0000
P  0.7500  0.2500  0.5000
O  0.0337  0.1489  0.4519
O  0.4182  0.9663  0.1152
O  0.6970  0.5818  0.5481
O  0.8511  0.3030  0.8848

Properties
Energy ... -6.6930 eV/atom
Density ... 3144 kg/m3


CoPO4 | PBE+U | relaxed

abc: 5.4569 5.4569 8.9219
angles: 90.00 90.00 120.00
Positions (direct):
Co  0.3333  0.6667  0.0000
Co  0.6667  0.3333  0.5000
P  0.3333  0.6667  0.3745
P  0.6667  0.3333  0.8745
O  0.0297  0.5149  0.4315
O  0.3333  0.6667  0.2039
O  0.4851  0.5149  0.4315
O  0.4851  0.9703  0.4315
O  0.5149  0.0297  0.9315
O  0.5149  0.4851  0.9315
O  0.6667  0.3333  0.7039
O  0.9703  0.4851  0.9315

Properties
Energy ... -6.6777 eV/atom
Density ... 2222 kg/m3


CoPO4 | PBE+U | relaxed

abc: 4.8948 4.8948 6.4690
angles: 90.00 90.00 91.66
Positions (direct):
Co  0.1644  0.1644  0.0000
Co  0.8356  0.8356  0.5000
P  0.3317  0.6683  0.7500
P  0.6683  0.3317  0.2500
O  0.2013  0.7819  0.5506
O  0.2181  0.7987  0.9494
O  0.2713  0.3573  0.7659
O  0.3573  0.2713  0.2341
O  0.6427  0.7287  0.7341
O  0.7287  0.6427  0.2659
O  0.7819  0.2013  0.4494
O  0.7987  0.2181  0.0506

Properties
Energy ... -6.7058 eV/atom
Density ... 3299 kg/m3